The following is a PBE+U calculation of an optimized crystal structure of AgMo2O6, from the Alexandria database.

Unit cell a=9.8584 b=3.8552 c=7.3976 alpha=90.00 beta=113.50 gamma=90.00
Last column: nearest neighbours and their distance in Å.
Space group C2/m (No. 12)
Symmetry-distinct sites (fractional):
Ag1 0.0000 0.0000 0.0000  6 O 2.43-2.47
Mo1 0.1823 0.0000 0.6312  2 O 1.77-1.82
O1 0.0162 0.0000 0.6811  1 Mo 1.82
O2 0.1658 0.5000 0.1378  1 Mo 1.77
O3 0.1975 0.5000 0.5613  3 Mo 2.02-2.19

## Properties
- D(E_F) (states/eV/cell) = 2.624
- relative energy among the computed polymorphs (eV per atom) = 0.000
- total energy (eV per atom) = -6.484